A plane-wave DFT calculation with GGA-PBE was carried out for CeGeBrO4 after structural relaxation.

a = 6.733 Å, b = 6.733 Å, c = 6.883 Å
α = 101.39°, β = 101.39°, γ = 56.44°
Atoms (fractional coordinates):
Ce 0.202 0.202 0.328
Ce 0.798 0.798 0.672
Ge 0.132 0.132 0.761
Ge 0.868 0.868 0.239
Br 0.477 0.477 0.829
Br 0.523 0.523 0.171
O 0.020 0.020 0.276
O 0.028 0.608 0.372
O 0.196 0.196 0.017
O 0.392 0.972 0.628
O 0.608 0.028 0.372
O 0.804 0.804 0.983
O 0.972 0.392 0.628
O 0.980 0.980 0.724

Computed properties:
Crystal system ... monoclinic
ΔE_f (raw) ... -2.05 eV per atom